Record 1
Entry from the Alexandria database: an optimized crystal structure of YMgBRh2 (GGA-PBE).

a = 4.2677 Å, b = 4.2677 Å, c = 4.3907 Å
α = 90.00°, β = 90.00°, γ = 90.00°
Positions (direct):
Y 0.0000 0.0000 0.0000
Mg 0.5000 0.5000 0.0000
B 0.5000 0.5000 0.5000
Rh 0.0000 0.5000 0.5000
Rh 0.5000 0.0000 0.5000

Properties
Space-group type: P4/mmm, No. 123
Volume (Å³ per atom): 15.994
VASP energy (eV/atom): -6.33

=====

Record 2
Entry from the Alexandria database: an optimized crystal structure of BeAsOs2 (GGA-PBE).

a = 4.8032 Å, b = 4.8032 Å, c = 4.8032 Å
α = 135.67°, β = 135.67°, γ = 64.49°
Positions (direct):
Be 0.0000 0.0000 0.0000
As 0.7500 0.2500 0.5000
Os 0.2500 0.7500 0.5000
Os 0.5000 0.5000 0.0000

Properties
Space-group type: I-4m2, No. 119
Volume (Å³ per atom): 13.340
VASP energy (eV/atom): -7.27

=====

Record 3
Entry from the Alexandria database: an optimized crystal structure of NaIn2Ir (GGA-PBE).

a = 15.8523 Å, b = 7.6197 Å, c = 5.9422 Å
α = 90.00°, β = 90.00°, γ = 90.00°
Positions (direct):
Na 0.1055 0.2500 0.2291
Na 0.1375 0.7500 0.0229
Na 0.3625 0.2500 0.5229
Na 0.3945 0.7500 0.7291
Na 0.6055 0.2500 0.2709
Na 0.6375 0.7500 0.4771
Na 0.8625 0.2500 0.9771
Na 0.8945 0.7500 0.7709
In 0.0386 0.0474 0.7541
In 0.0386 0.4526 0.7541
In 0.2123 0.5452 0.4994
In 0.2123 0.9548 0.4994
In 0.2877 0.0452 0.9994
In 0.2877 0.4548 0.9994
In 0.4614 0.5474 0.2541
In 0.4614 0.9526 0.2541
In 0.5386 0.0474 0.7459
In 0.5386 0.4526 0.7459
In 0.7123 0.5452 0.0006
In 0.7123 0.9548 0.0006
In 0.7877 0.0452 0.5006
In 0.7877 0.4548 0.5006
In 0.9614 0.5474 0.2459
In 0.9614 0.9526 0.2459
Ir 0.0681 0.7500 0.5113
Ir 0.1844 0.2500 0.7450
Ir 0.3156 0.7500 0.2450
Ir 0.4319 0.2500 0.0113
Ir 0.5681 0.7500 0.9887
Ir 0.6844 0.2500 0.7550
Ir 0.8156 0.7500 0.2550
Ir 0.9319 0.2500 0.4887

Properties
Space-group type: Pnma, No. 62
Volume (Å³ per atom): 22.430
VASP energy (eV/atom): -4.05

=====

Record 4
Entry from the Alexandria database: an optimized crystal structure of YIr2Au (GGA-PBE).

a = 3.5530 Å, b = 3.5530 Å, c = 5.9517 Å
α = 90.00°, β = 90.00°, γ = 90.00°
Positions (direct):
Y 0.0000 0.0000 0.0000
Ir 0.0000 0.0000 0.5495
Ir 0.5000 0.5000 0.7139
Au 0.5000 0.5000 0.2655

Properties
Space-group type: P4mm, No. 99
Volume (Å³ per atom): 18.783
VASP energy (eV/atom): -7.03